[1]
VASP calculation (GGA-PBE) on NbCoTc2Pb after structural relaxation.

Summary:
formation energy from the elements: 2.002 eV per atom

a = 4.694 Å, b = 4.694 Å, c = 5.382 Å
α = 90.00°, β = 90.00°, γ = 90.00°
Space group P4/mmm (No. 123)
Symmetry-distinct sites (fractional):
Nb1 0.000 0.000 0.000 x1
Co1 0.500 0.500 0.500 x1
Tc1 0.000 0.500 0.000 x2
Pb1 0.000 0.000 0.500 x1

---

[2]
VASP calculation (GGA-PBE) on NbCoTe2Pb after structural relaxation.

Summary:
energy relative to the elements, uncorrected: 1.8079 eV/atom

a = 5.828 Å, b = 5.828 Å, c = 5.431 Å
α = 90.00°, β = 90.00°, γ = 90.00°
Space group P4/mmm (No. 123)
Symmetry-distinct sites (fractional):
Nb1 0.000 0.000 0.000 x1
Co1 0.500 0.500 0.000 x1
Te1 0.000 0.500 0.500 x2
Pb1 0.000 0.000 0.500 x1

---

[3]
VASP calculation (GGA-PBE) on NbCoPd2 after structural relaxation.

Summary:
formation energy from the elements: 0.992 eV per atom

a = 5.596 Å, b = 5.596 Å, c = 10.835 Å
α = 90.00°, β = 90.00°, γ = 90.00°
Space group I-42d (No. 122)
Symmetry-distinct sites (fractional):
Nb1 0.000 0.000 0.000 x4
Co1 0.000 0.000 0.500 x4
Pd1 0.220 0.250 0.625 x8

---

[4]
VASP calculation (GGA-PBE) on NbCo2Pd after structural relaxation.

Summary:
formation energy from the elements: 0.401 eV per atom

a = 3.723 Å, b = 3.723 Å, c = 17.325 Å
α = 90.00°, β = 90.00°, γ = 90.00°
Space group I-42d (No. 122)
Symmetry-distinct sites (fractional):
Nb1 0.000 0.000 0.000 x4
Co1 0.219 0.250 0.625 x8
Pd1 0.000 0.000 0.500 x4

---

[5]
VASP calculation (GGA-PBE) on NbCo2Pd2 after structural relaxation.

Summary:
formation energy from the elements: 0.129 eV per atom

a = 7.294 Å, b = 7.294 Å, c = 2.720 Å
α = 90.00°, β = 90.00°, γ = 90.00°
Space group P4/mbm (No. 127)
Symmetry-distinct sites (fractional):
Nb1 0.000 0.000 0.000 x2
Co1 0.168 0.332 0.500 x4
Pd1 0.130 0.630 0.000 x4

---

[6]
VASP calculation (GGA-PBE) on NbCoPd2 after structural relaxation.

Summary:
formation energy from the elements: 0.021 eV per atom

a = 6.239 Å, b = 6.239 Å, c = 6.239 Å
α = 90.00°, β = 90.00°, γ = 90.00°
Space group Fm-3m (No. 225)
Symmetry-distinct sites (fractional):
Nb1 0.000 0.000 0.000 x4
Co1 0.000 0.000 0.500 x4
Pd1 0.250 0.250 0.250 x8

---

[7]
VASP calculation (GGA-PBE) on NbCoPd2 after structural relaxation.

Summary:
formation energy from the elements: -0.232 eV per atom

a = 3.810 Å, b = 3.810 Å, c = 4.012 Å
α = 90.00°, β = 90.00°, γ = 90.00°
Space group P4/mmm (No. 123)
Symmetry-distinct sites (fractional):
Nb1 0.000 0.000 0.000 x1
Co1 0.500 0.500 0.000 x1
Pd1 0.000 0.500 0.500 x2

---

[8]
VASP calculation (GGA-PBE) on Nb2CoPd2 after structural relaxation.

Summary:
formation energy from the elements: 0.148 eV per atom

a = 6.969 Å, b = 6.969 Å, c = 3.391 Å
α = 90.00°, β = 90.00°, γ = 90.00°
Space group P4/mbm (No. 127)
Symmetry-distinct sites (fractional):
Nb1 0.176 0.324 0.000 x4
Co1 0.000 0.000 0.500 x2
Pd1 0.132 0.632 0.500 x4

---

[9]
VASP calculation (GGA-PBE) on NbCo2Pd2 after structural relaxation.

Summary:
formation energy from the elements: 0.038 eV per atom

a = 6.218 Å, b = 6.218 Å, c = 3.721 Å
α = 90.00°, β = 90.00°, γ = 90.00°
Space group P4/mbm (No. 127)
Symmetry-distinct sites (fractional):
Nb1 0.000 0.000 0.000 x2
Co1 0.130 0.370 0.000 x4
Pd1 0.166 0.666 0.500 x4

---

[10]
VASP calculation (GGA-PBE) on NbCo2Pd after structural relaxation.

Summary:
formation energy from the elements: -0.030 eV per atom

a = 5.997 Å, b = 5.997 Å, c = 5.997 Å
α = 90.00°, β = 90.00°, γ = 90.00°
Space group Fm-3m (No. 225)
Symmetry-distinct sites (fractional):
Nb1 0.000 0.000 0.000 x4
Co1 0.250 0.250 0.250 x8
Pd1 0.000 0.000 0.500 x4

---

[11]
VASP calculation (GGA-PBE) on NbCo2Pd after structural relaxation.

Summary:
formation energy from the elements: -0.176 eV per atom

a = 3.854 Å, b = 3.854 Å, c = 3.598 Å
α = 90.00°, β = 90.00°, γ = 90.00°
Space group P4/mmm (No. 123)
Symmetry-distinct sites (fractional):
Nb1 0.000 0.000 0.000 x1
Co1 0.000 0.500 0.500 x2
Pd1 0.500 0.500 0.000 x1

---

[12]
VASP calculation (GGA-PBE) on NbCoPd2Ru after structural relaxation.

Summary:
formation energy from the elements: 1.399 eV per atom

a = 4.784 Å, b = 4.784 Å, c = 4.244 Å
α = 90.00°, β = 90.00°, γ = 90.00°
Space group P4/mmm (No. 123)
Symmetry-distinct sites (fractional):
Nb1 0.000 0.000 0.000 x1
Co1 0.500 0.500 0.000 x1
Pd1 0.000 0.500 0.500 x2
Ru1 0.500 0.500 0.500 x1

---

[13]
VASP calculation (GGA-PBE) on Nb8Co2Sb4Pd after structural relaxation.

Summary:
energy relative to the elements, uncorrected: -0.3008 eV/atom

a = 10.556 Å, b = 10.556 Å, c = 4.950 Å
α = 90.00°, β = 90.00°, γ = 90.00°
Space group I-42m (No. 121)
Symmetry-distinct sites (fractional):
Nb1 0.080 0.296 0.241 x16
Co1 0.000 0.500 0.000 x4
Sb1 0.151 0.151 0.720 x8
Pd1 0.000 0.000 0.000 x2